Entry 1:
A relaxed TbV2CoO8 crystal. Source: the Alexandria database, functional PBE+U.

```
TbV2CoO8
1.0
-4.7473 -0.9769 -3.0379
5.0397 -1.9676 -1.8575
-0.8369 -4.8506 2.8676
Tb V Co O
1 2 1 8
Direct
0.0000 0.0000 0.0000 Tb
0.6667 0.3333 0.3822 V
0.3333 0.6667 0.6178 V
0.0000 0.0000 0.5000 Co
0.8421 0.1579 0.2920 O
0.8421 0.6841 0.2920 O
0.3159 0.1579 0.2920 O
0.6841 0.8421 0.7080 O
0.3333 0.6667 0.3337 O
0.6667 0.3333 0.6663 O
0.1579 0.8421 0.7080 O
0.1579 0.3159 0.7080 O
```

Output
Crystal system ... trigonal
Energy ... -7.29 eV/atom

=====

Entry 2:
A relaxed CoTc2O2 crystal. Source: the Alexandria database, functional PBE+U.

```
CoTc2O2
1.0
-0.2327 0.8807 3.1351
0.0599 -3.1414 0.8869
5.1592 -0.9359 2.3457
Co Tc O
1 2 2
Direct
0.0000 0.0000 0.0000 Co
0.3743 0.3743 0.2514 Tc
0.6257 0.6257 0.7486 Tc
0.7500 0.2500 0.5000 O
0.2500 0.7500 0.5000 O
```

Output
Crystal system ... tetragonal
Distance to the lowest polymorph of the same formula ... 0 meV per atom

=====

Entry 3:
A relaxed CoTcO5 crystal. Source: the Alexandria database, functional PBE+U.

```
CoTcO5
1.0
5.7456 0.0419 -1.4005
-1.6693 5.4979 -1.4005
0.0261 0.0354 7.0633
Co Tc O
2 2 10
Direct
0.0000 0.0000 0.0000 Co
0.0000 0.0000 0.5000 Co
0.6594 0.3406 0.7500 Tc
0.3406 0.6594 0.2500 Tc
0.7468 0.6459 0.8919 O
0.2532 0.3541 0.1081 O
0.3541 0.2532 0.6081 O
0.6459 0.7468 0.3919 O
0.0338 0.9662 0.7500 O
0.9662 0.0338 0.2500 O
0.7097 0.1649 0.9134 O
0.2903 0.8351 0.0866 O
0.8351 0.2903 0.5866 O
0.1649 0.7097 0.4134 O
```

Output
Crystal system ... monoclinic
Energy ... -6.86 eV/atom

=====

Entry 4:
A relaxed CoTc3O12 crystal. Source: the Alexandria database, functional PBE+U.

```
CoTc3O12
1.0
7.8090 0.0000 3.7709
2.9940 7.2122 3.7709
-0.2373 -0.1584 10.4625
Co Tc O
2 6 24
Direct
0.0878 0.0878 0.7365 Co
0.5878 0.5878 0.2365 Co
0.6988 0.3080 0.0052 Tc
0.1988 0.4879 0.5052 Tc
0.8080 0.1988 0.5052 Tc
0.3080 0.9879 0.0052 Tc
0.9879 0.6988 0.0052 Tc
0.4879 0.8080 0.5052 Tc
0.1065 0.1089 0.1121 O
0.2064 0.2641 0.6122 O
0.9511 0.0132 0.4340 O
0.9049 0.2599 0.8618 O
0.4049 0.4735 0.3618 O
0.4511 0.1017 0.9340 O
0.7064 0.4173 0.1122 O
0.0132 0.6017 0.4340 O
0.6065 0.1725 0.6121 O
0.9173 0.2064 0.6122 O
0.7598 0.4049 0.3618 O
0.1725 0.6089 0.6121 O
0.1017 0.5132 0.9340 O
0.6725 0.1065 0.1121 O
0.2599 0.9735 0.8618 O
0.4173 0.7641 0.1122 O
0.7641 0.7064 0.1122 O
0.5132 0.4511 0.9340 O
0.6089 0.6065 0.6121 O
0.9735 0.9049 0.8618 O
0.4735 0.7598 0.3618 O
0.1089 0.6725 0.1121 O
0.2641 0.9173 0.6122 O
0.6017 0.9511 0.4340 O
```

Output
Crystal system ... trigonal
Energy ... -7.19 eV/atom

=====

Entry 5:
A relaxed CoTc2O2 crystal. Source: the Alexandria database, functional PBE+U.

```
CoTc2O2
1.0
6.5621 0.0000 0.0000
0.0000 6.5621 0.0000
0.0000 0.0000 2.5901
Co Tc O
2 4 4
Direct
0.0000 0.0000 0.0000 Co
0.5000 0.5000 0.0000 Co
0.3115 0.8115 0.0000 Tc
0.8115 0.6885 0.0000 Tc
0.6885 0.1885 0.0000 Tc
0.1885 0.3115 0.0000 Tc
0.1317 0.6317 0.5000 O
0.6317 0.8683 0.5000 O
0.8683 0.3683 0.5000 O
0.3683 0.1317 0.5000 O
```

Output
Crystal system ... tetragonal
Distance to the lowest polymorph of the same formula ... 538 meV per atom

=====

Entry 6:
A relaxed CoTc2O6 crystal. Source: the Alexandria database, functional PBE+U.

```
CoTc2O6
1.0
4.4805 0.0000 0.0000
0.0000 7.4477 -4.2999
0.0000 0.0000 8.5999
Co Tc O
3 6 18
Direct
0.4967 0.3333 0.6667 Co
0.0000 0.0000 0.0000 Co
0.5033 0.6667 0.3333 Co
0.0000 0.6578 0.6578 Tc
0.5000 0.3244 0.3244 Tc
0.0000 0.0000 0.3422 Tc
0.5000 0.6756 0.0000 Tc
0.5000 0.0000 0.6756 Tc
0.0000 0.3422 0.0000 Tc
0.2423 0.7648 0.8813 O
0.7418 0.5687 0.7798 O
0.2509 0.4460 0.5441 O
0.2509 0.4559 0.9018 O
0.7418 0.2111 0.4313 O
0.2423 0.1165 0.2352 O
0.7418 0.2202 0.7889 O
0.7577 0.8835 0.1187 O
0.2509 0.0982 0.5540 O
0.2423 0.1187 0.8835 O
0.2582 0.7889 0.2202 O
0.7491 0.9018 0.4559 O
0.7491 0.5540 0.0982 O
0.2582 0.7798 0.5687 O
0.7577 0.8813 0.7648 O
0.2582 0.4313 0.2111 O
0.7491 0.5441 0.4460 O
0.7577 0.2352 0.1165 O
```

Output
Crystal system ... trigonal
Energy ... -7.46 eV/atom

=====

Entry 7:
A relaxed Co2TcO4 crystal. Source: the Alexandria database, functional PBE+U.

```
Co2TcO4
1.0
6.1298 0.0158 0.0045
3.4346 5.0762 0.0029
3.1208 1.6637 5.0843
Co Tc O
4 2 8
Direct
0.0052 0.0051 0.9948 Co
0.2448 0.2449 0.2552 Co
0.6250 0.6250 0.1250 Co
0.6250 0.6250 0.6250 Co
0.1250 0.6250 0.6250 Tc
0.6250 0.1250 0.6250 Tc
0.3779 0.3779 0.3805 O
0.3637 0.8415 0.3974 O
0.3779 0.3779 0.8636 O
0.8416 0.3636 0.3974 O
0.4084 0.8864 0.8526 O
0.8721 0.8721 0.3864 O
0.8863 0.4085 0.8526 O
0.8721 0.8721 0.8695 O
```

Output
Crystal system ... orthorhombic
Energy ... -6.89 eV/atom

=====

Entry 8:
A relaxed CoTcO4 crystal. Source: the Alexandria database, functional PBE+U.

```
CoTcO4
1.0
-5.0061 0.1025 2.3226
2.1255 -2.0323 4.6710
2.1386 4.7684 -2.1597
Co Tc O
1 1 4
Direct
0.7500 0.2500 0.5000 Co
0.5000 0.5000 0.0000 Tc
0.5021 0.8575 0.2568 O
0.7548 0.3993 0.2568 O
0.1425 0.2452 0.7432 O
0.6007 0.4979 0.7432 O
```

Output
Crystal system ... tetragonal
Distance to the lowest polymorph of the same formula ... 0 meV per atom

=====

Entry 9:
A relaxed CoTcO4 crystal. Source: the Alexandria database, functional PBE+U.

```
CoTcO4
1.0
-0.8725 -4.1489 -1.8755
2.9321 0.9615 -3.4910
11.8266 -6.2051 8.2245
Co Tc O
4 4 16
Direct
0.0000 0.7499 0.8815 Co
0.5000 0.2501 0.6185 Co
0.0000 0.2501 0.1185 Co
0.5000 0.7499 0.3815 Co
0.5000 0.2500 0.8815 Tc
0.0000 0.7500 0.6185 Tc
0.5000 0.7500 0.1185 Tc
0.0000 0.2500 0.3815 Tc
0.7408 0.0225 0.9402 O
0.2408 0.9775 0.5598 O
0.2592 0.9775 0.0598 O
0.7592 0.0225 0.4402 O
0.2592 0.4775 0.9402 O
0.7592 0.5225 0.5598 O
0.7408 0.5225 0.0598 O
0.2408 0.4775 0.4402 O
0.7282 0.4855 0.8216 O
0.2282 0.5145 0.6784 O
0.2718 0.5145 0.1784 O
0.7718 0.4855 0.3216 O
0.2718 0.0144 0.8216 O
0.7718 0.9856 0.6784 O
0.7282 0.9856 0.1784 O
0.2282 0.0144 0.3216 O
```

Output
Crystal system ... orthorhombic
Distance to the lowest polymorph of the same formula ... 77 meV per atom

=====

Entry 10:
A relaxed TiCoTcO6 crystal. Source: the Alexandria database, functional PBE+U.

```
TiCoTcO6
1.0
-2.7687 4.1656 0.5815
-0.2099 -2.5801 -4.3192
-6.7054 -4.9118 3.2599
Ti Co Tc O
2 2 2 12
Direct
0.6667 0.3333 0.2500 Ti
0.3333 0.6667 0.7500 Ti
0.0000 0.0000 0.0000 Co
0.0000 0.0000 0.5000 Co
0.3333 0.6667 0.2500 Tc
0.6667 0.3333 0.7500 Tc
0.6506 0.6555 0.1318 O
0.0049 0.3494 0.1318 O
0.3494 0.0049 0.6318 O
0.9951 0.6506 0.8682 O
0.3445 0.3494 0.3682 O
0.0049 0.6555 0.3682 O
0.6555 0.0049 0.8682 O
0.6506 0.9951 0.3682 O
0.9951 0.3445 0.6318 O
0.3445 0.9951 0.1318 O
0.6555 0.6506 0.6318 O
0.3494 0.3445 0.8682 O
```

Output
Crystal system ... trigonal
Energy ... -7.65 eV/atom

=====

Entry 11:
A relaxed Tl2CoTcO4 crystal. Source: the Alexandria database, functional PBE+U.

```
Tl2CoTcO4
1.0
6.1868 -0.0057 -0.0642
-0.0071 6.1332 -0.1382
-3.1258 -3.1438 3.7645
Tl Co Tc O
2 1 1 4
Direct
0.4721 0.9788 0.9696 Tl
0.2535 0.2334 0.5088 Tl
0.9947 0.4816 0.9730 Co
0.7271 0.7230 0.4589 Tc
0.7495 0.5789 0.6712 O
0.8818 0.5318 0.2456 O
0.3891 0.7765 0.3274 O
0.9193 0.0830 0.6197 O
```

Output
Crystal system ... triclinic
Energy ... -5.88 eV/atom

=====

Entry 12:
A relaxed TlCoTcO4 crystal. Source: the Alexandria database, functional PBE+U.

```
TlCoTcO4
1.0
5.3260 0.0000 -1.1854
0.0000 5.7631 0.0000
-3.5044 0.0000 8.3432
Tl Co Tc O
2 2 2 8
Direct
0.5798 0.7500 0.8635 Tl
0.4202 0.2500 0.1365 Tl
0.7807 0.7500 0.4675 Co
0.2193 0.2500 0.5325 Co
0.1465 0.7500 0.3308 Tc
0.8535 0.2500 0.6692 Tc
0.0641 0.5007 0.6677 O
0.9359 0.0007 0.3323 O
0.9359 0.4993 0.3323 O
0.0641 0.9993 0.6677 O
0.3579 0.7500 0.2272 O
0.6421 0.2500 0.7728 O
0.5106 0.7500 0.5627 O
0.4894 0.2500 0.4373 O
```

Output
Crystal system ... monoclinic
Energy ... -6.33 eV/atom

=====

Number 1: ρ 4.606 g/cm3. Number 2: ρ 8.499 g/cm3. Number 3: ρ 3.510 g/cm3. Number 4: ρ 3.023 g/cm3. Number 5: ρ 8.544 g/cm3. Number 6: ρ 6.092 g/cm3. Number 7: ρ 5.888 g/cm3. Number 8: ρ 2.943 g/cm3. Number 9: ρ 4.331 g/cm3. Number 10: ρ 5.095 g/cm3. Number 11: ρ 7.527 g/cm3. Number 12: ρ 6.084 g/cm3.